# 1
TaReBr2 (GGA-PBE, relaxed); space-group type = R-3m; distance to the lowest polymorph of the same formula = 943 meV/atom; formation energy (no corrections) = 0.89 eV per atom
1.0
-5.703 0.079 8.834
-6.120 -2.854 8.061
-3.639 -2.029 9.655
Br Ta Re
2 1 1
Cartesian
-0.300 -0.093 0.515 Br
-7.432 -2.309 12.760 Br
-11.597 -3.603 19.912 Ta
-3.866 -1.201 6.637 Re


# 2
TaReBr2 (GGA-PBE, relaxed); space-group type = I-42d; distance to the lowest polymorph of the same formula = 1719 meV/atom; formation energy (no corrections) = 1.66 eV per atom
1.0
-1.881 4.144 -3.809
-1.989 -4.247 -3.638
-6.579 0.057 -1.312
Ta Re Br
2 2 4
Cartesian
-5.251 -2.120 -4.337 Ta
-1.935 -0.051 -3.724 Ta
0.000 0.000 0.000 Re
-5.197 2.075 -4.423 Re
-3.094 -2.186 -3.019 Br
-8.351 -0.112 -7.557 Br
-3.098 2.137 -3.222 Br
-6.354 0.070 -3.721 Br


# 3
TaRe2TcBr (GGA-PBE, relaxed); space-group type = P4/mmm; formation energy (no corrections) = 2.36 eV per atom
1.0
4.858 0.000 0.000
0.000 4.918 0.000
0.000 0.000 4.858
Br Re Ta Tc
1 2 1 1
Cartesian
0.000 2.459 0.000 Br
2.429 0.000 0.000 Re
0.000 0.000 2.429 Re
0.000 0.000 0.000 Ta
2.429 2.459 2.429 Tc


# 4
TaTiRe2Br (GGA-PBE, relaxed); space-group type = P4/mmm; formation energy (no corrections) = 1.58 eV per atom
1.0
-2.783 -3.451 1.138
3.501 -2.399 1.288
-0.387 1.706 4.229
Br Re Ti Ta
1 2 1 1
Cartesian
0.000 0.000 0.000 Br
-1.391 -1.726 0.569 Re
-0.193 0.853 2.115 Re
1.751 -1.199 0.644 Ti
0.166 -2.072 3.327 Ta


# 5
Re2TcBr2 (GGA-PBE, relaxed); space-group type = I4/mmm; distance to the lowest polymorph of the same formula = 771 meV/atom; formation energy (no corrections) = 1.86 eV per atom
1.0
-0.538 3.972 1.432
-4.219 -0.445 -0.350
-2.596 -0.037 5.454
Re Tc Br
2 1 2
Cartesian
-4.597 0.640 2.822 Re
-2.756 2.849 3.714 Re
0.000 0.000 0.000 Tc
-4.918 2.196 4.714 Br
-2.435 1.294 1.822 Br


# 6
ReTc2Br (GGA-PBE, relaxed); space-group type = P4/mmm; distance to the lowest polymorph of the same formula = 39 meV/atom; formation energy (no corrections) = 0.52 eV per atom
1.0
2.965 0.000 0.000
0.000 2.965 0.000
0.000 0.000 7.151
Br Re Tc
1 1 2
Cartesian
1.483 1.483 1.788 Br
1.483 1.483 5.363 Re
0.000 0.000 7.049 Tc
0.000 0.000 3.677 Tc


Per-record electronic total energy, eV per atom: -6.025; -5.249; -7.394; -7.681; -5.861; -8.190